A plane-wave DFT calculation with GGA-PBE was carried out for K2BiN after structural relaxation.

The calculation puts the energy relative to the lowest polymorph listed for this composition at 0.0 meV/atom. The value obtained for the formation energy from raw total energies is 0.353 eV per atom. The value obtained for the magnetic moment is 4.4 μB per cell. Its volume is 620 Å³ per cell.

It has space group I-42d (No. 122), with a = 11.543 Å, b = 11.543 Å, c = 4.656 Å, α = 90.00°, β = 90.00° and γ = 90.00°. The inequivalent atoms are K at (0.051, 0.250, 0.125), Bi at (0.000, 0.000, 0.500) and N at (0.000, 0.000, 0.000).


A plane-wave DFT calculation with GGA-PBE was carried out for KBiP2N after structural relaxation.

The value obtained for the formation energy from raw total energies is 2.118 eV per atom. The value obtained for the magnetic moment is 0.0 μB per cell. Its volume is 121 Å³ per cell.

It has space group P4/mmm (No. 123), with a = 5.264 Å, b = 5.264 Å, c = 4.348 Å, α = 90.00°, β = 90.00° and γ = 90.00°. The inequivalent atoms are K at (0.000, 0.000, 0.000), Bi at (0.500, 0.500, 0.500), P at (0.000, 0.500, 0.000) and N at (0.000, 0.000, 0.500).


A plane-wave DFT calculation with GGA-PBE was carried out for KBiPd2N after structural relaxation.

The value obtained for the formation energy from raw total energies is 0.721 eV per atom. The value obtained for the magnetic moment is 0.0 μB per cell. Its volume is 126 Å³ per cell.

It has space group P4/mmm (No. 123), with a = 5.233 Å, b = 5.233 Å, c = 4.600 Å, α = 90.00°, β = 90.00° and γ = 90.00°. The inequivalent atoms are K at (0.000, 0.000, 0.000), Bi at (0.500, 0.500, 0.500), Pd at (0.000, 0.500, 0.500) and N at (0.500, 0.500, 0.000).


A plane-wave DFT calculation with GGA-PBE was carried out for K2RbBiN after structural relaxation.

The value obtained for the formation energy from raw total energies is 0.299 eV per atom. The value obtained for the magnetic moment is 0.4 μB per cell. Its volume is 168 Å³ per cell.

It has space group P4/mmm (No. 123), with a = 5.860 Å, b = 5.860 Å, c = 4.903 Å, α = 90.00°, β = 90.00° and γ = 90.00°. The inequivalent atoms are K at (0.000, 0.500, 0.000), Rb at (0.000, 0.000, 0.500), Bi at (0.500, 0.500, 0.500) and N at (0.500, 0.500, 0.000).


A plane-wave DFT calculation with GGA-PBE was carried out for KBiSN2 after structural relaxation.

The calculation puts the energy relative to the lowest polymorph listed for this composition at 0.0 meV/atom. The value obtained for the formation energy from raw total energies is 0.960 eV per atom. The value obtained for the magnetic moment is 3.0 μB per cell. Its volume is 115 Å³ per cell.

It has space group P4/mmm (No. 123), with a = 4.604 Å, b = 4.604 Å, c = 5.412 Å, α = 90.00°, β = 90.00° and γ = 90.00°. The inequivalent atoms are K at (0.000, 0.000, 0.000), Bi at (0.500, 0.500, 0.500), S at (0.500, 0.500, 0.000) and N at (0.000, 0.500, 0.500).


A plane-wave DFT calculation with GGA-PBE was carried out for KBiS2N after structural relaxation.

The calculation puts the energy relative to the lowest polymorph listed for this composition at 0.0 meV/atom. The value obtained for the formation energy from raw total energies is 0.373 eV per atom. The value obtained for the magnetic moment is 2.2 μB per cell. Its volume is 135 Å³ per cell.

It has space group P4/mmm (No. 123), with a = 5.350 Å, b = 5.350 Å, c = 4.703 Å, α = 90.00°, β = 90.00° and γ = 90.00°. The inequivalent atoms are K at (0.000, 0.000, 0.000), Bi at (0.500, 0.500, 0.500), S at (0.000, 0.500, 0.500) and N at (0.500, 0.500, 0.000).


A plane-wave DFT calculation with GGA-PBE was carried out for KBiS2N after structural relaxation.

The calculation puts the energy relative to the lowest polymorph listed for this composition at 1049.5 meV/atom. The value obtained for the formation energy from raw total energies is 1.423 eV per atom. The value obtained for the magnetic moment is 3.0 μB per cell. Its volume is 140 Å³ per cell.

It has space group P4/mmm (No. 123), with a = 5.508 Å, b = 5.508 Å, c = 4.601 Å, α = 90.00°, β = 90.00° and γ = 90.00°. The inequivalent atoms are K at (0.000, 0.000, 0.000), Bi at (0.500, 0.500, 0.500), S at (0.000, 0.500, 0.000) and N at (0.000, 0.000, 0.500).


A plane-wave DFT calculation with GGA-PBE was carried out for KBiSN2 after structural relaxation.

The calculation puts the energy relative to the lowest polymorph listed for this composition at 1027.0 meV/atom. The value obtained for the formation energy from raw total energies is 1.987 eV per atom. The value obtained for the magnetic moment is 4.0 μB per cell. Its volume is 130 Å³ per cell.

It has space group P4/mmm (No. 123), with a = 4.715 Å, b = 4.715 Å, c = 5.832 Å, α = 90.00°, β = 90.00° and γ = 90.00°. The inequivalent atoms are K at (0.000, 0.000, 0.000), Bi at (0.500, 0.500, 0.500), S at (0.000, 0.000, 0.500) and N at (0.000, 0.500, 0.000).


Number 1: energy -51.965 eV/cell. Number 2: energy -13.532 eV/cell. Number 3: energy -20.086 eV/cell. Number 4: energy -13.874 eV/cell. Number 5: energy -20.959 eV/cell. Number 6: energy -19.692 eV/cell. Number 7: energy -14.445 eV/cell. Number 8: energy -15.824 eV/cell.